The following is a DFT calculation (PBE) of a geometry-optimized HfThSb structure.

Lattice parameters (Å, degrees): 5.0253 5.0253 5.0253 60.00 60.00 60.00
Last column: nearest neighbours and their distance in Å.
Fractional positions:
Hf  0.0000  0.0000  0.0000  4 Sb 3.08
Th  0.5000  0.5000  0.5000  4 Sb 3.08
Sb  0.2500  0.2500  0.2500  4 Hf 3.08, 4 Th 3.08

## Properties
symmetry = F-43m (216)

***

The following is a DFT calculation (PBE) of a geometry-optimized DyTmTlCo2 structure.

Lattice parameters (Å, degrees): 3.8255 7.2634 7.2634 30.45 90.00 90.00
Last column: nearest neighbours and their distance in Å.
Fractional positions:
Dy  0.0000  0.0000  0.0000  6 Co 2.85-2.88
Tm  0.0000  0.2814  0.2814  6 Co 2.85-2.87
Tl  0.5000  0.6408  0.6408  2 Co 2.89-2.90
Co  0.5000  0.4342  0.4342  2 Co 2.27
Co  0.5000  0.8466  0.8466  2 Co 2.27

## Properties
symmetry = Amm2 (38)

***

The following is a DFT calculation (PBE) of a geometry-optimized NbIBr2O structure.

Lattice parameters (Å, degrees): 7.6558 7.6558 12.7041 119.55 119.55 29.42
Last column: nearest neighbours and their distance in Å.
Fractional positions:
Nb  0.1260  0.1260  0.1987  2 O 1.95
Nb  0.8740  0.8740  0.8013  2 O 1.95
I  0.1034  0.1034  0.9554  2 Nb 2.93
I  0.8966  0.8966  0.0446  2 Nb 2.93
Br  0.1055  0.1055  0.3790  1 Nb 2.46
Br  0.3175  0.3175  0.2870  1 Nb 2.46
Br  0.6825  0.6825  0.7130  1 Nb 2.46
Br  0.8945  0.8945  0.6210  1 Nb 2.46
O  0.3831  0.3831  0.8157  2 Nb 1.95
O  0.6169  0.6169  0.1843  2 Nb 1.95

## Properties
offset from the most stable computed form = 0.7 kJ per mole of atoms
symmetry = C2/m (12)

***

The following is a DFT calculation (PBE) of a geometry-optimized TbHoBrNCl2 structure.

Lattice parameters (Å, degrees): 8.4679 8.4679 10.9154 120.38 120.38 26.32
Last column: nearest neighbours and their distance in Å.
Fractional positions:
Tb  0.1350  0.1350  0.2856  2 N 2.30
Tb  0.8650  0.8650  0.7144  2 N 2.30
Ho  0.4173  0.4173  0.0435  2 N 2.22
Ho  0.5827  0.5827  0.9565  2 N 2.22
Br  0.3414  0.3414  0.4828  3 Tb 2.93-3.04
Br  0.6586  0.6586  0.5172  3 Tb 2.93-3.04
N  0.4254  0.4254  0.8467  2 Ho 2.22, 2 Tb 2.30
N  0.5746  0.5746  0.1533  2 Ho 2.22, 2 Tb 2.30
Cl  0.0482  0.0482  0.7581  2 Ho 2.73, 1 Tb 2.80
Cl  0.2159  0.2159  0.1083  2 Ho 2.74, 1 Tb 2.86
Cl  0.7841  0.7841  0.8917  2 Ho 2.74, 1 Tb 2.86
Cl  0.9518  0.9518  0.2419  2 Ho 2.73, 1 Tb 2.80

## Properties
offset from the most stable computed form = 0.0 kJ per mole of atoms
symmetry = C2/m (12)

***

The following is a DFT calculation (PBE) of a geometry-optimized Pm2GeIr2 structure.

Lattice parameters (Å, degrees): 5.7064 5.7064 7.8583 101.36 101.36 59.00
Last column: nearest neighbours and their distance in Å.
Fractional positions:
Pm  0.0032  0.2917  0.1488  6 Ir 2.98-3.11, 1 Ge 3.31
Pm  0.2917  0.0032  0.6488  6 Ir 2.98-3.11, 1 Ge 3.31
Pm  0.7083  0.9968  0.3512  6 Ir 2.98-3.11, 1 Ge 3.31
Pm  0.9968  0.7083  0.8512  6 Ir 2.98-3.11, 1 Ge 3.31
Ge  0.3639  0.6361  0.2500  4 Ir 2.59-2.62
Ge  0.6361  0.3639  0.7500  4 Ir 2.59-2.62
Ir  0.2333  0.4976  0.5011  2 Ge 2.59-2.62, 1 Ir 2.64
Ir  0.4976  0.2333  0.0011  2 Ge 2.59-2.62, 1 Ir 2.64
Ir  0.5024  0.7667  0.9989  2 Ge 2.59-2.62, 1 Ir 2.64
Ir  0.7667  0.5024  0.4989  2 Ge 2.59-2.62, 1 Ir 2.64

## Properties
symmetry = C2/c (15)

***

The following is a DFT calculation (PBE) of a geometry-optimized Ba2Lu structure.

Lattice parameters (Å, degrees): 11.1979 11.1979 11.1979 60.00 60.00 60.00
Last column: nearest neighbours and their distance in Å.
Fractional positions:
Ba  0.0000  0.0000  0.0000  2 Lu 3.43
Ba  0.0000  0.0000  0.5000  2 Lu 3.43
Ba  0.0000  0.5000  0.0000  2 Lu 3.43
Ba  0.5000  0.0000  0.0000  2 Lu 3.43
Lu  0.1250  0.1250  0.1250  4 Ba 3.43
Lu  0.8750  0.8750  0.8750  4 Ba 3.43

## Properties
offset from the most stable computed form = 92.3 kJ per mole of atoms
symmetry = Fd-3m (227)

***

The following is a DFT calculation (PBE) of a geometry-optimized TcSnO3 structure.

Lattice parameters (Å, degrees): 6.4910 6.4910 6.4910 49.17 49.17 49.17
Last column: nearest neighbours and their distance in Å.
Fractional positions:
Tc  0.1661  0.1661  0.1661  6 O 2.03-2.05
Tc  0.8339  0.8339  0.8339  6 O 2.03-2.05
Sn  0.3773  0.3773  0.3773  3 O 2.19
Sn  0.6227  0.6227  0.6227  3 O 2.19
O  0.0804  0.4357  0.7964  2 Tc 2.03-2.05, 1 Sn 2.19
O  0.2036  0.9196  0.5643  2 Tc 2.03-2.05, 1 Sn 2.19
O  0.4357  0.7964  0.0804  2 Tc 2.03-2.05, 1 Sn 2.19
O  0.5643  0.2036  0.9196  2 Tc 2.03-2.05, 1 Sn 2.19
O  0.7964  0.0804  0.4357  2 Tc 2.03-2.05, 1 Sn 2.19
O  0.9196  0.5643  0.2036  2 Tc 2.03-2.05, 1 Sn 2.19

## Properties
symmetry = R-3 (148)

***

The following is a DFT calculation (PBE) of a geometry-optimized ScFeSi2 structure.

Lattice parameters (Å, degrees): 8.9174 9.7413 7.7721 90.00 90.00 90.00
Last column: nearest neighbours and their distance in Å.
Fractional positions:
Sc  0.1690  0.1780  0.0000  7 Si 2.68-2.81, 4 Fe 2.98-2.99
Sc  0.1757  0.4515  0.2473  8 Si 2.70-2.86, 4 Fe 2.92-2.98
Sc  0.1757  0.4515  0.7527  8 Si 2.70-2.86, 4 Fe 2.92-2.98
Sc  0.3243  0.9515  0.2473  8 Si 2.70-2.86, 4 Fe 2.92-2.98
Sc  0.3243  0.9515  0.7527  8 Si 2.70-2.86, 4 Fe 2.92-2.98
Sc  0.3310  0.6780  0.0000  7 Si 2.68-2.81, 4 Fe 2.98-2.99
Sc  0.6690  0.3220  0.0000  7 Si 2.68-2.81, 4 Fe 2.98-2.99
Sc  0.6757  0.0485  0.2473  8 Si 2.70-2.86, 4 Fe 2.92-2.98
Sc  0.6757  0.0485  0.7527  8 Si 2.70-2.86, 4 Fe 2.92-2.98
Sc  0.8243  0.5485  0.2473  8 Si 2.70-2.86, 4 Fe 2.92-2.98
Sc  0.8243  0.5485  0.7527  8 Si 2.70-2.86, 4 Fe 2.92-2.98
Sc  0.8310  0.8220  0.0000  7 Si 2.68-2.81, 4 Fe 2.98-2.99
Fe  0.0000  0.0000  0.2460  6 Si 2.39-2.43, 2 Fe 2.65
Fe  0.0000  0.0000  0.7540  6 Si 2.39-2.43, 2 Fe 2.65
Fe  0.0859  0.7396  0.2485  6 Si 2.28-2.49
Fe  0.0859  0.7396  0.7515  6 Si 2.28-2.49
Fe  0.4141  0.2396  0.2485  6 Si 2.28-2.49
Fe  0.4141  0.2396  0.7515  6 Si 2.28-2.49
Fe  0.5000  0.5000  0.2460  6 Si 2.39-2.43, 2 Fe 2.65
Fe  0.5000  0.5000  0.7540  6 Si 2.39-2.43, 2 Fe 2.65
Fe  0.5859  0.7604  0.2485  6 Si 2.28-2.49
Fe  0.5859  0.7604  0.7515  6 Si 2.28-2.49
Fe  0.9141  0.2604  0.2485  6 Si 2.28-2.49
Fe  0.9141  0.2604  0.7515  6 Si 2.28-2.49
Si  0.0367  0.6210  0.0000  2 Fe 2.29, 1 Si 2.45
Si  0.0414  0.6262  0.5000  2 Fe 2.28
Si  0.1049  0.8970  0.5000  4 Fe 2.40-2.49
Si  0.1218  0.8936  0.0000  4 Fe 2.43-2.47, 3 Sc 2.69-2.70
Si  0.1600  0.1793  0.3468  1 Si 2.38, 3 Fe 2.39-2.46
Si  0.1600  0.1793  0.6532  1 Si 2.38, 3 Fe 2.39-2.46
Si  0.3400  0.6793  0.3468  1 Si 2.38, 3 Fe 2.39-2.46
Si  0.3400  0.6793  0.6532  1 Si 2.38, 3 Fe 2.39-2.46
Si  0.3782  0.3936  0.0000  4 Fe 2.43-2.47, 3 Sc 2.69-2.70
Si  0.3951  0.3970  0.5000  4 Fe 2.40-2.49
Si  0.4586  0.1262  0.5000  2 Fe 2.28
Si  0.4633  0.1210  0.0000  2 Fe 2.29, 1 Si 2.45
Si  0.5367  0.8790  0.0000  2 Fe 2.29, 1 Si 2.45
Si  0.5414  0.8738  0.5000  2 Fe 2.28
Si  0.6049  0.6030  0.5000  4 Fe 2.40-2.49
Si  0.6218  0.6064  0.0000  4 Fe 2.43-2.47, 3 Sc 2.69-2.70
Si  0.6600  0.3207  0.3468  1 Si 2.38, 3 Fe 2.39-2.46
Si  0.6600  0.3207  0.6532  1 Si 2.38, 3 Fe 2.39-2.46
Si  0.8400  0.8207  0.3468  1 Si 2.38, 3 Fe 2.39-2.46
Si  0.8400  0.8207  0.6532  1 Si 2.38, 3 Fe 2.39-2.46
Si  0.8782  0.1064  0.0000  4 Fe 2.43-2.47, 3 Sc 2.69-2.70
Si  0.8951  0.1030  0.5000  4 Fe 2.40-2.49
Si  0.9586  0.3738  0.5000  2 Fe 2.28
Si  0.9633  0.3790  0.0000  2 Fe 2.29, 1 Si 2.45

## Properties
symmetry = Pbam (55)

***

The following is a DFT calculation (PBE) of a geometry-optimized GdMgAgTeS2 structure.

Lattice parameters (Å, degrees): 7.0689 7.0689 11.0229 90.00 90.00 148.06
Last column: nearest neighbours and their distance in Å.
Fractional positions:
Gd  0.0000  0.0000  0.0000  4 S 2.79
Gd  0.0000  0.0000  0.5000  4 S 2.79
Mg  0.1956  0.8044  0.7500  4 S 2.84, 2 Te 3.01
Mg  0.8044  0.1956  0.2500  4 S 2.84, 2 Te 3.01
Ag  0.4905  0.5095  0.2500  2 S 2.50, 2 Te 2.77
Ag  0.5095  0.4905  0.7500  2 S 2.50, 2 Te 2.77
Te  0.1356  0.8644  0.2500  2 Ag 2.77, 2 Mg 3.01
Te  0.8644  0.1356  0.7500  2 Ag 2.77, 2 Mg 3.01
S  0.3683  0.6317  0.0799  1 Ag 2.50, 2 Gd 2.79
S  0.3683  0.6317  0.4201  1 Ag 2.50, 2 Gd 2.79
S  0.6317  0.3683  0.5799  1 Ag 2.50, 2 Gd 2.79
S  0.6317  0.3683  0.9201  1 Ag 2.50, 2 Gd 2.79

## Properties
symmetry = Cmcm (63)

***

The following is a DFT calculation (PBE) of a geometry-optimized Hf2ZrNi2As4Pd2 structure.

Lattice parameters (Å, degrees): 6.5543 3.8590 7.5361 90.00 90.73 90.00
Last column: nearest neighbours and their distance in Å.
Fractional positions:
Hf  0.0000  0.0000  0.0000  5 As 2.72-2.86, 1 Pd 2.84, 2 Ni 2.88
Hf  0.4423  0.5000  0.4934  5 As 2.63-2.79
Zr  0.9294  0.5000  0.6260  5 As 2.77-2.87, 3 Ni 2.91-2.93, 2 Pd 2.97
Ni  0.6267  0.0000  0.7487  4 As 2.48-2.63
Ni  0.8420  0.5000  0.2459  4 As 2.43-2.66, 2 Pd 2.72
As  0.2315  0.0000  0.6847  3 Pd 2.49-2.53, 1 Ni 2.63, 2 Hf 2.79
As  0.2418  0.5000  0.1890  3 Pd 2.45-2.54, 1 Hf 2.63, 1 Ni 2.66
As  0.7100  0.0000  0.4164  3 Ni 2.48-2.57, 1 Pd 2.59, 2 Hf 2.68
As  0.7156  0.5000  0.9414  3 Ni 2.43-2.48, 1 Pd 2.55, 2 Hf 2.72
Pd  0.1001  0.0000  0.3680  4 As 2.53-2.59, 2 Ni 2.72
Pd  0.3339  0.5000  0.8749  4 As 2.45-2.55

## Properties
offset from the most stable computed form = 3.3 kJ per mole of atoms
symmetry = Pm (6)

***

The following is a DFT calculation (PBE) of a geometry-optimized Y2TmSn3Pd2Pt structure.

Lattice parameters (Å, degrees): 3.9313 7.5834 7.5834 119.80 90.00 90.00
Last column: nearest neighbours and their distance in Å.
Fractional positions:
Y  0.0000  0.2000  0.8000  1 Pt 3.04, 4 Pd 3.05-3.06, 6 Sn 3.22-3.32
Y  0.0000  0.8000  0.2000  1 Pt 3.04, 4 Pd 3.05-3.06, 6 Sn 3.22-3.32
Tm  0.0000  0.4007  0.4007  4 Pd 3.01, 1 Pt 3.01, 6 Sn 3.24-3.32
Sn  0.5000  0.0619  0.0619  2 Pt 2.81, 2 Pd 2.82
Sn  0.5000  0.5369  0.8000  2 Pt 2.79, 2 Pd 2.82-2.87
Sn  0.5000  0.8000  0.5369  2 Pt 2.79, 2 Pd 2.82-2.87
Pd  0.5000  0.1376  0.4656  3 Sn 2.82-2.87, 2 Tm 3.01, 4 Y 3.05-3.06
Pd  0.5000  0.4656  0.1376  3 Sn 2.82-2.87, 2 Tm 3.01, 4 Y 3.05-3.06
Pt  0.0000  0.7970  0.7970  6 Sn 2.79-2.81, 1 Tm 3.01, 2 Y 3.04

## Properties
symmetry = Amm2 (38)

***

The following is a DFT calculation (PBE) of a geometry-optimized Gd3TmTe2C2 structure.

Lattice parameters (Å, degrees): 3.8515 3.8515 14.1114 90.00 90.00 120.00
Last column: nearest neighbours and their distance in Å.
Fractional positions:
Gd  0.0000  0.0000  0.0000  3 C 2.60
Gd  0.0000  0.0000  0.3156  3 C 2.59
Gd  0.6667  0.3333  0.8101  3 C 2.59
Tm  0.6667  0.3333  0.5002  3 C 2.56
Te  0.0000  0.0000  0.6517  3 Tm 3.08, 3 Gd 3.15
Te  0.6667  0.3333  0.1577  6 Gd 3.15
C  0.3333  0.6667  0.4101  3 Tm 2.56, 3 Gd 2.59
C  0.3333  0.6667  0.9048  6 Gd 2.59-2.60

## Properties
symmetry = P3m1 (156)

***

| no. | calculated total energy (eV/cell) |
| --- | --- |
| 1 | -21.33 |
| 2 | -27.16 |
| 3 | -52.14 |
| 4 | -70.31 |
| 5 | -71.65 |
| 6 | -7.51 |
| 7 | -70.36 |
| 8 | -338.51 |
| 9 | -53.32 |
| 10 | -76.98 |
| 11 | -54.65 |
| 12 | -50.00 |